(1)
Material: KSiAg2
Method: DFT, GGA-PBE
State: optimized geometry

Computed properties:
Space group: No. 141
Raw formation energy in kcal/mol of atoms: 3.90

Structure (POSCAR):
```
KSiAg2
1.0
-2.766 2.766 8.149
2.766 -2.766 8.149
2.766 2.766 -8.149
K Si Ag
2 2 4
Direct
0.375 0.625 0.750 K
0.625 0.375 0.250 K
0.125 0.875 0.250 Si
0.875 0.125 0.750 Si
0.000 0.000 0.000 Ag
0.000 0.000 0.500 Ag
0.000 0.500 0.000 Ag
0.500 0.000 0.500 Ag
```

(2)
Material: KSiAg2
Method: DFT, GGA-PBE
State: optimized geometry

Computed properties:
Space group: No. 44
Raw formation energy in kcal/mol of atoms: 7.11

Structure (POSCAR):
```
KSiAg2
1.0
-1.484 2.775 5.449
1.484 -2.775 5.449
1.484 2.775 -5.449
K Si Ag
1 1 2
Direct
0.000 0.000 0.000 K
0.270 0.770 0.500 Si
0.466 0.466 0.000 Ag
0.697 0.197 0.500 Ag
```

no.,total magnetic moment (Bohr magnetons per cell),D(E_F) (states/eV/f.u.)
1,0.00,3.69
2,0.00,1.64